Entry 1:
Below is a geometry-optimized BeFeBRh structure, with properties calculated at the GGA-PBE level.

Its formation enthalpy at 0 K is -0.209 eV/atom. For the total energy, the calculation gives -6.763 eV per atom.

The structure belongs to space group F-43m (No. 216); the cell edges are 5.2920, 5.2920 and 5.2920 Å and the angles 90.00°, 90.00° and 90.00°. The distinct sites, in fractional coordinates, are Be at (0.0000, 0.0000, 0.0000), Fe at (0.2500, 0.2500, 0.2500), B at (0.0000, 0.0000, 0.5000) and Rh at (0.2500, 0.2500, 0.7500).

Entry 2:
Below is a geometry-optimized Ba3Ag5Br12 structure, with properties calculated at the GGA-PBE level.

For the total energy, the calculation gives -3.154 eV per atom.

The structure belongs to space group Ia-3d (No. 230); the cell edges are 17.6021, 17.6021 and 17.6021 Å and the angles 90.00°, 90.00° and 90.00°. The distinct sites, in fractional coordinates, are Ba at (0.0000, 0.2500, 0.1250), Ag at (0.0000, 0.0000, 0.0000), Ag at (0.0000, 0.2500, 0.3750) and Br at (0.0265, 0.0596, 0.6492).

Entry 3:
Below is a geometry-optimized TbCu4Ru structure, with properties calculated at the GGA-PBE level.

Its formation enthalpy at 0 K is -0.069 eV/atom. For the total energy, the calculation gives -5.118 eV per atom.

The structure belongs to space group F-43m (No. 216); the cell edges are 7.0471, 7.0471 and 7.0471 Å and the angles 90.00°, 90.00° and 90.00°. The distinct sites, in fractional coordinates, are Tb at (0.0000, 0.0000, 0.0000), Cu at (0.1238, 0.1238, 0.6238) and Ru at (0.2500, 0.2500, 0.2500).